Fe2CoReH: relaxed, PBE.

Unit cell a=3.6476 b=3.6476 c=3.5615 alpha=90.00 beta=90.00 gamma=90.00
Closest atoms and distances in Å follow each position.
Element x y z (fractional)
1 Re 0.5000 0.5000 0.5000  8 Fe 2.55, 4 Co 2.58
2 Co 0.0000 0.0000 0.5000  2 H 1.78
3 Fe 0.0000 0.5000 0.0000  2 H 1.82
4 Fe 0.5000 0.0000 0.0000  2 H 1.82
5 H 0.0000 0.0000 0.0000  2 Co 1.78, 4 Fe 1.82

The value obtained for the energy above the most stable polymorph in this dataset is 0.000 eV/atom.



Fe2CoReH: relaxed, PBE.

Unit cell a=3.5918 b=3.5918 c=3.7517 alpha=90.00 beta=90.00 gamma=90.00
Closest atoms and distances in Å follow each position.
Element x y z (fractional)
1 Re 0.0000 0.0000 0.5000  2 H 1.88
2 Co 0.5000 0.5000 0.5000  4 Re 2.54, 8 Fe 2.60
3 Fe 0.0000 0.5000 0.0000  2 H 1.80
4 Fe 0.5000 0.0000 0.0000  2 H 1.80
5 H 0.0000 0.0000 0.0000  4 Fe 1.80, 2 Re 1.88

The value obtained for the energy above the most stable polymorph in this dataset is 0.101 eV/atom.



FeCo2ReH: relaxed, PBE.

Unit cell a=3.5931 b=3.5931 c=3.6833 alpha=90.00 beta=90.00 gamma=90.00
Closest atoms and distances in Å follow each position.
Element x y z (fractional)
1 Re 0.5000 0.5000 0.5000  4 Fe 2.54, 8 Co 2.57
2 Co 0.0000 0.5000 0.0000  2 H 1.80
3 Co 0.5000 0.0000 0.0000  2 H 1.80
4 Fe 0.0000 0.0000 0.5000  2 H 1.84
5 H 0.0000 0.0000 0.0000  4 Co 1.80, 2 Fe 1.84

The value obtained for the energy above the most stable polymorph in this dataset is 0.000 eV/atom.



Raw total energy for the records above, in order: -39.5 -39.0 -38.0 eV for the cell shown